PBE LiFeSi, optimized geometry; space group = P4/nmm, No. 129; ρ = 3.6 Mg/m³; electronic total energy = -32.92 eV for the cell shown; uncorrected formation energy = -0.22 eV per atom
1.0
-2.522 1.900 1.815
-1.329 -3.093 1.391
3.976 0.527 4.971
Li Si Fe
2 2 2
Direct
0.000 0.500 0.847
0.500 0.000 0.153
0.000 0.500 0.273
0.500 0.000 0.727
0.500 0.500 0.500
0.000 0.000 0.500


PBE LiFeSi, optimized geometry; space group = C2/m, No. 12; ρ = 4.6 Mg/m³; electronic total energy = -65.81 eV for the cell shown; uncorrected formation energy = -0.22 eV per atom
1.0
4.661 0.000 0.003
0.000 3.911 0.000
-1.269 0.000 7.241
Li Fe Si
4 4 4
Direct
0.500 0.000 0.500
0.500 0.500 0.000
0.000 0.500 0.000
0.000 0.000 0.500
0.703 0.000 0.857
0.297 0.000 0.143
0.703 0.500 0.357
0.297 0.500 0.643
0.803 0.000 0.185
0.197 0.000 0.815
0.803 0.500 0.685
0.197 0.500 0.315